Run 1
VASP calculation (GGA-PBE) on a relaxed Ba2IrOs crystal.

The structure in CIF format:
```
data_Ba2IrOs
_chemical_formula_sum 'Ba2 Ir1 Os1'
_cell_length_a 4.350
_cell_length_b 4.350
_cell_length_c 9.186
_cell_angle_alpha 77.51
_cell_angle_beta 77.51
_cell_angle_gamma 60.58
_symmetry_space_group_name_H-M 'P 1'
_symmetry_Int_Tables_number 1
_symmetry_space_group_name_Hall 'P 1'
loop_
_atom_site_label
_atom_site_type_symbol
_atom_site_fract_x
_atom_site_fract_y
_atom_site_fract_z
Ir1 Ir 0.551 0.551 0.374
Ba1 Ba 0.953 0.953 0.123
Ba2 Ba 0.798 0.798 0.627
Os1 Os 0.197 0.197 0.376
```

Output
V: 146.57 Å³/cell
total moment: 0.8 μB/f.u.

---

Run 2
VASP calculation (GGA-PBE) on a relaxed Ba2IrOs crystal.

The structure in CIF format:
```
data_Ba2IrOs
_chemical_formula_sum 'Ba2 Ir1 Os1'
_cell_length_a 5.820
_cell_length_b 5.820
_cell_length_c 3.228
_cell_angle_alpha 90.00
_cell_angle_beta 90.00
_cell_angle_gamma 90.00
_symmetry_space_group_name_H-M 'P 1'
_symmetry_Int_Tables_number 1
_symmetry_space_group_name_Hall 'P 1'
loop_
_atom_site_label
_atom_site_type_symbol
_atom_site_fract_x
_atom_site_fract_y
_atom_site_fract_z
Ba1 Ba 0.500 0.500 0.000
Ba2 Ba 0.000 0.000 0.000
Os1 Os 0.000 0.500 0.500
Ir1 Ir 0.500 0.000 0.500
```

Output
V: 109.34 Å³/cell
total moment: 2.2 μB/f.u.

---

Which one sits at the bottom of the stability order? run 2 does.

---

Run 1
VASP calculation (GGA-PBE) on a relaxed BaIrOs3 crystal.

The structure in CIF format:
```
data_BaIrOs3
_chemical_formula_sum 'Ba1 Ir1 Os3'
_cell_length_a 4.854
_cell_length_b 4.854
_cell_length_c 4.854
_cell_angle_alpha 90.00
_cell_angle_beta 90.00
_cell_angle_gamma 90.00
_symmetry_space_group_name_H-M 'P 1'
_symmetry_Int_Tables_number 1
_symmetry_space_group_name_Hall 'P 1'
loop_
_atom_site_label
_atom_site_type_symbol
_atom_site_fract_x
_atom_site_fract_y
_atom_site_fract_z
Os1 Os 0.000 0.500 0.000
Os2 Os 0.000 0.000 0.500
Os3 Os 0.500 0.000 0.000
Ba1 Ba 0.500 0.500 0.500
Ir1 Ir 0.000 0.000 0.000
```

Output
V: 114.37 Å³/cell
total moment: 0.0 μB/f.u.

---

Run 2
VASP calculation (GGA-PBE) on a relaxed BaIrOs3 crystal.

The structure in CIF format:
```
data_BaIrOs3
_chemical_formula_sum 'Ba1 Ir1 Os3'
_cell_length_a 4.875
_cell_length_b 4.875
_cell_length_c 4.875
_cell_angle_alpha 90.00
_cell_angle_beta 90.00
_cell_angle_gamma 90.00
_symmetry_space_group_name_H-M 'P 1'
_symmetry_Int_Tables_number 1
_symmetry_space_group_name_Hall 'P 1'
loop_
_atom_site_label
_atom_site_type_symbol
_atom_site_fract_x
_atom_site_fract_y
_atom_site_fract_z
Ba1 Ba 0.000 0.000 0.000
Os1 Os 0.000 0.000 0.500
Os2 Os 0.500 0.000 0.000
Os3 Os 0.000 0.500 0.000
Ir1 Ir 0.500 0.500 0.500
```

Output
V: 115.88 Å³/cell
total moment: 0.0 μB/f.u.

---

Which one sits at the bottom of the stability order? run 2 does.

---

Run 1
VASP calculation (GGA-PBE) on a relaxed Ba8P2Ir crystal.

The structure in CIF format:
```
data_Ba8P2Ir
_chemical_formula_sum 'Ba8 P2 Ir1'
_cell_length_a 7.024
_cell_length_b 9.022
_cell_length_c 9.022
_cell_angle_alpha 74.35
_cell_angle_beta 92.79
_cell_angle_gamma 92.79
_symmetry_space_group_name_H-M 'P 1'
_symmetry_Int_Tables_number 1
_symmetry_space_group_name_Hall 'P 1'
loop_
_atom_site_label
_atom_site_type_symbol
_atom_site_fract_x
_atom_site_fract_y
_atom_site_fract_z
Ba1 Ba 0.785 0.892 0.313
Ba2 Ba 0.739 0.396 0.396
Ba3 Ba 0.215 0.108 0.687
Ba4 Ba 0.726 0.827 0.827
Ba5 Ba 0.785 0.313 0.892
Ba6 Ba 0.261 0.604 0.604
Ba7 Ba 0.274 0.173 0.173
Ba8 Ba 0.215 0.687 0.108
P1 P 0.202 0.390 0.390
P2 P 0.798 0.610 0.610
Ir1 Ir 0.000 0.000 0.000
```

Output
V: 549.43 Å³/cell
total moment: 0.3 μB/f.u.

---

Run 2
VASP calculation (GGA-PBE) on a relaxed Ba8P2Ir crystal.

The structure in CIF format:
```
data_Ba8P2Ir
_chemical_formula_sum 'Ba8 P2 Ir1'
_cell_length_a 7.745
_cell_length_b 9.481
_cell_length_c 9.481
_cell_angle_alpha 55.70
_cell_angle_beta 107.55
_cell_angle_gamma 107.55
_symmetry_space_group_name_H-M 'P 1'
_symmetry_Int_Tables_number 1
_symmetry_space_group_name_Hall 'P 1'
loop_
_atom_site_label
_atom_site_type_symbol
_atom_site_fract_x
_atom_site_fract_y
_atom_site_fract_z
P1 P 0.827 0.255 0.255
P2 P 0.173 0.745 0.745
Ba1 Ba 0.079 0.645 0.110
Ba2 Ba 0.921 0.890 0.355
Ba3 Ba 0.419 0.114 0.114
Ba4 Ba 0.079 0.110 0.645
Ba5 Ba 0.603 0.375 0.375
Ba6 Ba 0.581 0.886 0.886
Ba7 Ba 0.921 0.355 0.890
Ba8 Ba 0.397 0.625 0.625
Ir1 Ir 0.000 0.000 0.000
```

Output
V: 540.65 Å³/cell
total moment: 0.0 μB/f.u.

---

Which one sits at the bottom of the stability order? run 2 does.

---

Run 1
VASP calculation (GGA-PBE) on a relaxed BaPIrS2 crystal.

The structure in CIF format:
```
data_BaPIrS2
_chemical_formula_sum 'Ba1 P1 Ir1 S2'
_cell_length_a 5.637
_cell_length_b 5.637
_cell_length_c 5.762
_cell_angle_alpha 90.00
_cell_angle_beta 90.00
_cell_angle_gamma 90.00
_symmetry_space_group_name_H-M 'P 1'
_symmetry_Int_Tables_number 1
_symmetry_space_group_name_Hall 'P 1'
loop_
_atom_site_label
_atom_site_type_symbol
_atom_site_fract_x
_atom_site_fract_y
_atom_site_fract_z
S1 S 0.000 0.500 0.000
S2 S 0.500 0.000 0.000
Ba1 Ba 0.000 0.000 0.000
P1 P 0.000 0.000 0.500
Ir1 Ir 0.500 0.500 0.500
```

Output
V: 183.09 Å³/cell
total moment: 3.4 μB/f.u.

---

Run 2
VASP calculation (GGA-PBE) on a relaxed BaPIrS2 crystal.

The structure in CIF format:
```
data_BaPIrS2
_chemical_formula_sum 'Ba1 P1 Ir1 S2'
_cell_length_a 5.124
_cell_length_b 5.124
_cell_length_c 4.388
_cell_angle_alpha 90.00
_cell_angle_beta 90.00
_cell_angle_gamma 90.00
_symmetry_space_group_name_H-M 'P 1'
_symmetry_Int_Tables_number 1
_symmetry_space_group_name_Hall 'P 1'
loop_
_atom_site_label
_atom_site_type_symbol
_atom_site_fract_x
_atom_site_fract_y
_atom_site_fract_z
S1 S 0.000 0.500 0.000
S2 S 0.500 0.000 0.000
Ba1 Ba 0.500 0.500 0.500
Ir1 Ir 0.000 0.000 0.000
P1 P 0.000 0.000 0.500
```

Output
V: 115.18 Å³/cell
total moment: 0.0 μB/f.u.

---

Which one sits at the bottom of the stability order? run 1 does.

---

Run 1
VASP calculation (GGA-PBE) on a relaxed BaPaIr2 crystal.

The structure in CIF format:
```
data_BaPaIr2
_chemical_formula_sum 'Ba1 Pa1 Ir2'
_cell_length_a 4.003
_cell_length_b 4.003
_cell_length_c 7.972
_cell_angle_alpha 75.46
_cell_angle_beta 75.46
_cell_angle_gamma 60.00
_symmetry_space_group_name_H-M 'P 1'
_symmetry_Int_Tables_number 1
_symmetry_space_group_name_Hall 'P 1'
loop_
_atom_site_label
_atom_site_type_symbol
_atom_site_fract_x
_atom_site_fract_y
_atom_site_fract_z
Ir1 Ir 0.267 0.267 0.200
Ir2 Ir 0.733 0.733 0.800
Ba1 Ba 0.500 0.500 0.500
Pa1 Pa 0.000 0.000 0.000
```

Output
V: 105.90 Å³/cell
total moment: 0.0 μB/f.u.

---

Run 2
VASP calculation (GGA-PBE) on a relaxed BaPaIr2 crystal.

The structure in CIF format:
```
data_BaPaIr2
_chemical_formula_sum 'Ba1 Pa1 Ir2'
_cell_length_a 3.530
_cell_length_b 3.530
_cell_length_c 7.815
_cell_angle_alpha 90.00
_cell_angle_beta 90.00
_cell_angle_gamma 90.00
_symmetry_space_group_name_H-M 'P 1'
_symmetry_Int_Tables_number 1
_symmetry_space_group_name_Hall 'P 1'
loop_
_atom_site_label
_atom_site_type_symbol
_atom_site_fract_x
_atom_site_fract_y
_atom_site_fract_z
Ir1 Ir 0.000 0.000 0.815
Ir2 Ir 0.000 0.000 0.185
Pa1 Pa 0.500 0.500 0.000
Ba1 Ba 0.500 0.500 0.500
```

Output
V: 97.40 Å³/cell
total moment: 0.0 μB/f.u.

---

Which one sits at the bottom of the stability order? run 1 does.

---

Run 1
VASP calculation (GGA-PBE) on a relaxed Ba4IrPb crystal.

The structure in CIF format:
```
data_Ba4IrPb
_chemical_formula_sum 'Ba8 Ir2 Pb2'
_cell_length_a 6.992
_cell_length_b 9.012
_cell_length_c 9.012
_cell_angle_alpha 113.49
_cell_angle_beta 100.24
_cell_angle_gamma 100.24
_symmetry_space_group_name_H-M 'P 1'
_symmetry_Int_Tables_number 1
_symmetry_space_group_name_Hall 'P 1'
loop_
_atom_site_label
_atom_site_type_symbol
_atom_site_fract_x
_atom_site_fract_y
_atom_site_fract_z
Ba1 Ba 0.453 0.728 0.053
Ba2 Ba 0.386 0.785 0.641
Ba3 Ba 0.547 0.272 0.947
Ba4 Ba 0.614 0.215 0.359
Ba5 Ba 0.953 0.053 0.728
Ba6 Ba 0.047 0.947 0.272
Ba7 Ba 0.114 0.359 0.215
Ba8 Ba 0.886 0.641 0.785
Pb1 Pb 0.750 0.630 0.370
Pb2 Pb 0.250 0.370 0.630
Ir1 Ir 0.250 0.000 0.000
Ir2 Ir 0.750 0.000 0.000
```

Output
V: 492.69 Å³/cell
total moment: 0.0 μB/f.u.

---

Run 2
VASP calculation (GGA-PBE) on a relaxed Ba4IrPb crystal.

The structure in CIF format:
```
data_Ba4IrPb
_chemical_formula_sum 'Ba4 Ir1 Pb1'
_cell_length_a 6.870
_cell_length_b 6.870
_cell_length_c 6.870
_cell_angle_alpha 60.00
_cell_angle_beta 60.00
_cell_angle_gamma 60.00
_symmetry_space_group_name_H-M 'P 1'
_symmetry_Int_Tables_number 1
_symmetry_space_group_name_Hall 'P 1'
loop_
_atom_site_label
_atom_site_type_symbol
_atom_site_fract_x
_atom_site_fract_y
_atom_site_fract_z
Ba1 Ba 0.376 0.873 0.376
Ba2 Ba 0.376 0.376 0.376
Ba3 Ba 0.376 0.376 0.873
Ba4 Ba 0.873 0.376 0.376
Pb1 Pb 0.000 0.000 0.000
Ir1 Ir 0.750 0.750 0.750
```

Output
V: 229.24 Å³/cell
total moment: 0.0 μB/f.u.

---

Which one sits at the bottom of the stability order? run 2 does.